Record 1
{
  "formula": "Be2GaRu2",
  "functional": "GGA-PBEsol",
  "state": "optimized geometry",
  "lattice_angstrom": [[6.0136, 0.0000, 0.0000], [0.0000, 6.0136, 0.0000], [0.0000, 0.0000, 3.0000]],
  "species": ["Be", "Be", "Be", "Be", "Ga", "Ga", "Ru", "Ru", "Ru", "Ru"],
  "frac_coords": [[0.1213, 0.3787, 0.0000], [0.3787, 0.8787, 0.0000], [0.6213, 0.1213, 0.0000], [0.8787, 0.6213, 0.0000], [0.0000, 0.0000, 0.0000], [0.5000, 0.5000, 0.0000], [0.1737, 0.6737, 0.5000], [0.3263, 0.1737, 0.5000], [0.6737, 0.8263, 0.5000], [0.8263, 0.3263, 0.5000]],
  "dft_energy_ev_per_atom": -6.73,
  "volume_a3_per_atom": 10.8,
  "ef_ev_per_atom": -0.40
}


Record 2
{
  "formula": "BeGaS2",
  "functional": "GGA-PBEsol",
  "state": "optimized geometry",
  "lattice_angstrom": [[1.8253, 1.0538, 6.5069], [-1.8253, 1.0538, 6.5069], [0.0000, -2.1077, 6.5069]],
  "species": ["Be", "Ga", "S", "S"],
  "frac_coords": [[0.0000, 0.0000, 0.0000], [0.5000, 0.5000, 0.5000], [0.0975, 0.0975, 0.0975], [0.9025, 0.9025, 0.9025]],
  "e_form_raw_ev_per_fu": -1.24,
  "dft_energy_ev_per_atom": -4.34,
  "volume_a3_per_atom": 18.8,
  "e_above_lowest_polymorph_mev_per_atom": 246.1
}


Record 3
{
  "formula": "BeGaS2",
  "functional": "GGA-PBEsol",
  "state": "optimized geometry",
  "lattice_angstrom": [[-2.7385, 2.7385, 4.8166], [2.7385, -2.7385, 4.8166], [2.7385, 2.7385, -4.8166]],
  "species": ["Be", "Be", "Ga", "Ga", "S", "S", "S", "S"],
  "frac_coords": [[0.0000, 0.0000, 0.0000], [0.7500, 0.2500, 0.5000], [0.2500, 0.7500, 0.5000], [0.5000, 0.5000, 0.0000], [0.0640, 0.6250, 0.9390], [0.3750, 0.3140, 0.4390], [0.6860, 0.1250, 0.0610], [0.8750, 0.9360, 0.5610]],
  "e_form_raw_ev_per_fu": -2.23,
  "dft_energy_ev_per_atom": -4.58,
  "volume_a3_per_atom": 18.1,
  "e_above_lowest_polymorph_mev_per_atom": 0.0
}


Record 4
{
  "formula": "Be2GaSb2",
  "functional": "GGA-PBEsol",
  "state": "optimized geometry",
  "lattice_angstrom": [[-1.8281, 1.8281, 7.3516], [1.8281, -1.8281, 7.3516], [1.8281, 1.8281, -7.3516]],
  "species": ["Be", "Be", "Ga", "Sb", "Sb"],
  "frac_coords": [[0.2500, 0.7500, 0.5000], [0.7500, 0.2500, 0.5000], [0.0000, 0.0000, 0.0000], [0.3666, 0.3666, 0.0000], [0.6334, 0.6334, 0.0000]],
  "e_form_raw_ev_per_fu": 1.17,
  "dft_energy_ev_per_atom": -3.86,
  "volume_a3_per_atom": 19.7
}


Record 5
{
  "formula": "Be2GaTcSb",
  "functional": "GGA-PBEsol",
  "state": "optimized geometry",
  "lattice_angstrom": [[4.1372, 0.0000, 0.0000], [0.0000, 4.1372, 0.0000], [0.0000, 0.0000, 4.7347]],
  "species": ["Be", "Be", "Ga", "Tc", "Sb"],
  "frac_coords": [[0.0000, 0.5000, 0.0000], [0.5000, 0.0000, 0.0000], [0.0000, 0.0000, 0.0000], [0.0000, 0.0000, 0.5000], [0.5000, 0.5000, 0.5000]],
  "e_form_raw_ev_per_fu": 4.54,
  "dft_energy_ev_per_atom": -4.52,
  "volume_a3_per_atom": 16.2
}


Record 6
{
  "formula": "Sc2BeGa",
  "functional": "GGA-PBEsol",
  "state": "optimized geometry",
  "lattice_angstrom": [[0.0000, 3.2270, 3.2270], [3.2270, 0.0000, 3.2270], [3.2270, 3.2270, 0.0000]],
  "species": ["Sc", "Sc", "Be", "Ga"],
  "frac_coords": [[0.2500, 0.2500, 0.2500], [0.7500, 0.7500, 0.7500], [0.0000, 0.0000, 0.0000], [0.5000, 0.5000, 0.5000]],
  "dft_energy_ev_per_atom": -5.51,
  "volume_a3_per_atom": 16.8,
  "ef_ev_per_atom": -0.37
}


Record 7
{
  "formula": "Be3GaSe",
  "functional": "GGA-PBEsol",
  "state": "optimized geometry",
  "lattice_angstrom": [[4.2840, 0.0000, 0.0000], [0.0000, 4.2840, 0.0000], [0.0000, 0.0000, 4.2840]],
  "species": ["Be", "Be", "Be", "Ga", "Se"],
  "frac_coords": [[0.0000, 0.0000, 0.5000], [0.0000, 0.5000, 0.0000], [0.5000, 0.0000, 0.0000], [0.5000, 0.5000, 0.5000], [0.0000, 0.0000, 0.0000]],
  "e_form_raw_ev_per_fu": 4.57,
  "dft_energy_ev_per_atom": -2.92,
  "volume_a3_per_atom": 15.7
}


Record 8
{
  "formula": "BeGa3Se",
  "functional": "GGA-PBEsol",
  "state": "optimized geometry",
  "lattice_angstrom": [[4.4703, 0.0000, 0.0000], [0.0000, 4.4703, 0.0000], [0.0000, 0.0000, 4.4703]],
  "species": ["Be", "Ga", "Ga", "Ga", "Se"],
  "frac_coords": [[0.0000, 0.0000, 0.0000], [0.0000, 0.0000, 0.5000], [0.0000, 0.5000, 0.0000], [0.5000, 0.0000, 0.0000], [0.5000, 0.5000, 0.5000]],
  "e_form_raw_ev_per_fu": 0.31,
  "dft_energy_ev_per_atom": -3.51,
  "volume_a3_per_atom": 17.9
}


What is the formula in the third record?
BeGaS2


Copy entry 3 word for word.
{
  "formula": "BeGaS2",
  "functional": "GGA-PBEsol",
  "state": "optimized geometry",
  "lattice_angstrom": [[-2.7385, 2.7385, 4.8166], [2.7385, -2.7385, 4.8166], [2.7385, 2.7385, -4.8166]],
  "species": ["Be", "Be", "Ga", "Ga", "S", "S", "S", "S"],
  "frac_coords": [[0.0000, 0.0000, 0.0000], [0.7500, 0.2500, 0.5000], [0.2500, 0.7500, 0.5000], [0.5000, 0.5000, 0.0000], [0.0640, 0.6250, 0.9390], [0.3750, 0.3140, 0.4390], [0.6860, 0.1250, 0.0610], [0.8750, 0.9360, 0.5610]],
  "e_form_raw_ev_per_fu": -2.23,
  "dft_energy_ev_per_atom": -4.58,
  "volume_a3_per_atom": 18.1,
  "e_above_lowest_polymorph_mev_per_atom": 0.0
}


What is the formula in the sixth record?
Sc2BeGa